Record 1
# CoAgP2Cl

CoAgP2Cl after structural relaxation (PBE-GGA, the Alexandria database).

Values from the calculation:
SG = P4/mmm, No. 123
formation energy without anion corrections = 1.324 eV per atom
E above lowest polymorph = 503 kJ/mol of formula units

a b c (Å): 4.770 4.770 5.137
angles (deg): 90.00 90.00 90.00
Element x y z (fractional)
Co 0.000 0.000 0.000
Ag 0.500 0.500 0.500
P 0.000 0.500 0.500
P 0.500 0.000 0.500
Cl 0.500 0.500 0.000



Record 2
# Tb4AgHg2Pd

Tb4AgHg2Pd after structural relaxation (PBE-GGA, the Alexandria database).

Values from the calculation:
E_form = -523 meV/atom
SG = R-3m, No. 166

a b c (Å): 8.954 8.954 8.954
angles (deg): 33.65 33.65 33.65
Element x y z (fractional)
Tb 0.121 0.121 0.121
Tb 0.372 0.372 0.372
Tb 0.628 0.628 0.628
Tb 0.879 0.879 0.879
Ag 0.500 0.500 0.500
Hg 0.245 0.245 0.245
Hg 0.755 0.755 0.755
Pd 0.000 0.000 0.000



Record 3
# HfTiV2

HfTiV2 after structural relaxation (PBE-GGA, the Alexandria database).

Values from the calculation:
E_form = 124 meV/atom
SG = P4/mmm, No. 123
E above lowest polymorph = 0 kJ/mol of formula units

a b c (Å): 3.313 3.313 6.105
angles (deg): 90.00 90.00 90.00
Element x y z (fractional)
Hf 0.000 0.000 0.000
Ti 0.000 0.000 0.500
V 0.500 0.500 0.294
V 0.500 0.500 0.706



Record 4
# CaHfSn2C

CaHfSn2C after structural relaxation (PBE-GGA, the Alexandria database).

Values from the calculation:
E_form = 278 meV/atom
SG = P4/mmm, No. 123

a b c (Å): 5.066 5.066 4.410
angles (deg): 90.00 90.00 90.00
Element x y z (fractional)
Ca 0.000 0.000 0.000
Hf 0.500 0.500 0.000
Sn 0.000 0.500 0.500
Sn 0.500 0.000 0.500
C 0.500 0.500 0.500



| no. | size of the total moment (Bohr magnetons per cell) |
| --- | --- |
| 1 | 3.7 |
| 2 | 0.0 |
| 3 | 0.0 |
| 4 | 0.0 |